CsNpClF3 | PBE-GGA | relaxed

Lattice parameters (Å, degrees): 7.338 5.233 8.115 71.19 82.94 67.59
Last column: magnetic moment on the atom in μB.
Fractional coordinates of all 12 atoms:
1 Cl 0.250 0.561 0.877  -0.02
2 Cl 0.750 0.439 0.123  -0.02
3 Cs 0.750 0.764 0.471  0.00
4 F 0.006 0.217 0.843  -0.01
5 Cs 0.250 0.236 0.529  0.00
6 F 0.506 0.060 0.157  -0.01
7 Np 0.750 0.032 0.937  3.93
8 F 0.750 0.178 0.644  -0.01
9 Np 0.250 0.968 0.063  3.93
10 F 0.494 0.940 0.843  -0.01
11 F 0.994 0.783 0.157  -0.01
12 F 0.250 0.822 0.356  -0.01

## Properties
Calculated density (g/cm3): 5.631
Formation energy from raw total energies (kJ/mol of atoms): -267.5
SG: C2/c, No. 15

ZnSi2Rh | PBE-GGA | relaxed

Lattice parameters (Å, degrees): 4.190 3.146 4.747 70.20 90.00 90.00
Fractional coordinates of all 4 atoms:
1 Si 0.500 0.220 0.178
2 Rh 0.500 0.941 0.744
3 Zn 0.000 0.539 0.555
4 Si 0.000 0.799 0.023

## Properties
Calculated density (g/cm3): 6.332
Formation energy from raw total energies (kJ/mol of atoms): -17.6
SG: Pm, No. 6

AlIr2Se | PBE-GGA | relaxed

Lattice parameters (Å, degrees): 8.338 8.338 8.338 20.22 20.22 20.22
Fractional coordinates of all 4 atoms:
1 Se 0.250 0.250 0.250
2 Ir 0.497 0.497 0.497
3 Al 0.750 0.750 0.750
4 Ir 0.003 0.003 0.003

## Properties
Calculated density (g/cm3): 13.444
Formation energy from raw total energies (kJ/mol of atoms): -17.2
SG: R-3m, No. 166

Gd2MgSb | PBE-GGA | relaxed

Lattice parameters (Å, degrees): 4.012 4.012 6.752 90.00 90.00 90.00
Last column: magnetic moment on the atom in μB.
Fractional coordinates of all 4 atoms:
1 Gd 0.000 0.000 0.241  7.24
2 Mg 0.500 0.500 0.500  -0.01
3 Sb 0.500 0.500 0.000  -0.05
4 Gd 0.000 0.000 0.759  7.24

## Properties
Calculated density (g/cm3): 7.036
Formation energy from raw total energies (kJ/mol of atoms): -57.8
SG: P4/mmm, No. 123

KScHg2 | PBE-GGA | relaxed

Lattice parameters (Å, degrees): 6.616 6.616 6.616 149.61 131.90 57.96
Fractional coordinates of all 4 atoms:
1 Sc 0.217 0.717 0.500
2 K 0.506 0.506 0.000
3 Hg 0.005 0.005 0.000
4 Hg 0.772 0.272 0.500

## Properties
Calculated density (g/cm3): 7.446
VASP energy (eV for the cell shown): -8.2
SG: Imm2, No. 44

CsLiTc2O8 | PBE-GGA | relaxed

Lattice parameters (Å, degrees): 5.681 6.692 7.926 65.00 69.00 64.88
Fractional coordinates of all 12 atoms:
1 Cs 0.500 0.500 0.500
2 O 0.366 0.956 0.816
3 Tc 0.690 0.777 0.843
4 Li 0.000 0.000 0.000
5 O 0.137 0.044 0.184
6 Tc 0.310 0.223 0.157
7 O 0.319 0.429 0.932
8 O 0.155 0.359 0.332
9 O 0.863 0.956 0.816
10 O 0.634 0.044 0.184
11 O 0.845 0.641 0.668
12 O 0.681 0.571 0.068

## Properties
Calculated density (g/cm3): 3.191
Formation energy from raw total energies (kJ/mol of atoms): -159.4
SG: C2/m, No. 12

Listing volume for the structures above in their given order: 22.7 14.7 15.1 27.2 27.1 20.1 Å³ per atom.